[1]
Here is crystalline Ta2AsAu at its relaxed geometry from Alexandria. Energies are from PBE.

Output
relative energy among the computed polymorphs	56	meV/atom
mass density	14691	kg/m³
crystal system	tetragonal

```
Ta2AsAu
1.0
3.508 0.000 0.000
0.000 3.508 0.000
0.000 0.000 5.822
Ta As Au
2 1 1
direct
0.000 0.000 0.000
0.500 0.500 0.255
0.000 0.000 0.475
0.500 0.500 0.755
```

[2]
Here is crystalline K2HgBi2Pb at its relaxed geometry from Alexandria. Energies are from PBE.

Output
mass density	6411	kg/m³
crystal system	orthorhombic

```
K2HgBi2Pb
1.0
-3.773 7.982 3.887
3.773 -7.982 3.887
3.773 7.982 -3.887
K Hg Bi Pb
4 2 4 2
direct
0.161 0.235 0.396
0.339 0.735 0.074
0.661 0.265 0.926
0.839 0.765 0.604
0.250 0.250 0.000
0.750 0.750 0.000
0.105 0.757 0.862
0.395 0.257 0.652
0.605 0.743 0.348
0.895 0.243 0.138
0.250 0.750 0.500
0.750 0.250 0.500
```

[3]
Here is crystalline Rb4La3InTe8 at its relaxed geometry from Alexandria. Energies are from PBE.

Output
E_form (uncorrected)	-1.238	eV per atom
mass density	4826	kg/m³
crystal system	trigonal

```
Rb4La3InTe8
1.0
4.684 2.704 8.575
-4.684 2.704 8.575
0.000 -5.409 8.575
Rb La In Te
4 3 1 8
direct
0.000 0.000 0.000
0.000 0.500 0.500
0.500 0.000 0.500
0.500 0.500 0.000
0.000 0.000 0.500
0.000 0.500 0.000
0.500 0.000 0.000
0.500 0.500 0.500
0.236 0.236 0.236
0.247 0.727 0.727
0.273 0.273 0.753
0.273 0.753 0.273
0.727 0.247 0.727
0.727 0.727 0.247
0.753 0.273 0.273
0.764 0.764 0.764
```

[4]
Here is crystalline Cd3CuMo at its relaxed geometry from Alexandria. Energies are from PBE.

Output
relative energy among the computed polymorphs	401	meV/atom
mass density	5235	kg/m³
crystal system	cubic

```
Cd3CuMo
1.0
5.401 0.000 0.000
0.000 5.401 0.000
0.000 0.000 5.401
Cd Cu Mo
3 1 1
direct
0.000 0.000 0.500
0.000 0.500 0.000
0.500 0.000 0.000
0.500 0.500 0.500
0.000 0.000 0.000
```

Number 1: N(E_F) 3.5 states/eV/cell, energy -31.8 eV per cell, total magnetization 0.000 μB per cell. Number 2: N(E_F) 5.0 states/eV/cell, energy -31.0 eV per cell, total magnetization 0.000 μB per cell. Number 3: N(E_F) 1.9 states/eV/cell, energy -66.3 eV per cell, total magnetization 0.000 μB per cell. Number 4: N(E_F) 4.1 states/eV/cell, energy -11.0 eV per cell, total magnetization 3.163 μB per cell.